(1)
The following is a GGA-PBE calculation of a geometry-optimized SrTm2S3 structure, from the Open Quantum Materials Database.

Lattice parameters (Å, degrees): 3.9487 3.9487 9.7993 90.00 90.00 120.00
Closest atoms and distances in Å follow each position.
Positions (direct):
Sr: 0.0000 0.0000 0.0000  6 S 2.94
Tm: 0.3333 0.6667 0.6501  6 S 2.71-2.77
Tm: 0.6667 0.3333 0.3499  6 S 2.71-2.77
S: 0.0000 0.0000 0.5000  6 Tm 2.71
S: 0.3333 0.6667 0.1900  3 Tm 2.77, 3 Sr 2.94
S: 0.6667 0.3333 0.8100  3 Tm 2.77, 3 Sr 2.94

Results
- Electronic total energy: -34.9 eV/cell

(2)
The following is a GGA-PBE calculation of a geometry-optimized SrTm2S4 structure, from the Open Quantum Materials Database.

Lattice parameters (Å, degrees): 11.9490 3.9445 14.2036 90.00 90.00 90.00
Closest atoms and distances in Å follow each position.
Positions (direct):
Sr: 0.2403 0.2500 0.1633  8 S 3.07-3.28
Sr: 0.2597 0.7500 0.6633  8 S 3.07-3.28
Sr: 0.7403 0.2500 0.3367  8 S 3.07-3.28
Sr: 0.7597 0.7500 0.8367  8 S 3.07-3.28
Tm: 0.0632 0.2500 0.3893  6 S 2.68-2.73
Tm: 0.0828 0.2500 0.9003  6 S 2.66-2.73
Tm: 0.4172 0.7500 0.4003  6 S 2.66-2.73
Tm: 0.4368 0.7500 0.8893  6 S 2.68-2.73
Tm: 0.5632 0.2500 0.1107  6 S 2.68-2.73
Tm: 0.5828 0.2500 0.5997  6 S 2.66-2.73
Tm: 0.9172 0.7500 0.0997  6 S 2.66-2.73
Tm: 0.9368 0.7500 0.6107  6 S 2.68-2.73
S: 0.0272 0.7500 0.7841  3 Tm 2.66-2.69
S: 0.0876 0.2500 0.5767  3 Tm 2.68-2.71
S: 0.1276 0.7500 0.0280  3 Tm 2.71-2.73
S: 0.2047 0.7500 0.3295  3 Tm 2.73
S: 0.2953 0.2500 0.8295  3 Tm 2.73
S: 0.3724 0.2500 0.5280  3 Tm 2.71-2.73
S: 0.4124 0.7500 0.0767  3 Tm 2.68-2.71
S: 0.4728 0.2500 0.2841  3 Tm 2.66-2.69
S: 0.5272 0.7500 0.7159  3 Tm 2.66-2.69
S: 0.5876 0.2500 0.9233  3 Tm 2.68-2.71
S: 0.6276 0.7500 0.4720  3 Tm 2.71-2.73
S: 0.7047 0.7500 0.1705  3 Tm 2.73
S: 0.7953 0.2500 0.6705  3 Tm 2.73
S: 0.8724 0.2500 0.9720  3 Tm 2.71-2.73
S: 0.9124 0.7500 0.4233  3 Tm 2.68-2.71
S: 0.9728 0.2500 0.2159  3 Tm 2.66-2.69

Results
- Electronic total energy: -168.4 eV/cell

(3)
The following is a GGA-PBE calculation of a geometry-optimized Sr4ZnS3 structure, from the Open Quantum Materials Database.

Lattice parameters (Å, degrees): 4.3392 4.3391 12.3876 90.00 90.10 90.00
Closest atoms and distances in Å follow each position.
Positions (direct):
Sr: 0.0000 0.0000 0.0000  4 Zn 3.07, 2 S 3.16
Sr: 0.0030 0.0000 0.5000  6 S 3.03-3.07
Sr: 0.5002 0.5000 0.2615  5 S 2.96-3.07, 1 Zn 3.24
Sr: 0.5039 0.5000 0.7386  5 S 2.96-3.07, 1 Zn 3.24
Zn: 0.4997 0.5000 0.0000  6 Sr 3.07-3.24
S: 0.0001 0.0000 0.2552  6 Sr 3.03-3.16
S: 0.0038 0.0000 0.7449  6 Sr 3.03-3.16
S: 0.5030 0.5000 0.5000  6 Sr 2.96-3.07

Results
- Electronic total energy: -32.4 eV/cell

(4)
The following is a GGA-PBE calculation of a geometry-optimized SrZn2S3 structure, from the Open Quantum Materials Database.

Lattice parameters (Å, degrees): 6.7821 6.7821 9.9382 90.00 90.00 147.10
Closest atoms and distances in Å follow each position.
Positions (direct):
Sr: 0.2434 0.7566 0.7500  6 S 2.99-3.09
Sr: 0.7566 0.2434 0.2500  6 S 2.99-3.09
Zn: 0.0000 0.0000 0.0000  6 S 2.60-2.70
Zn: 0.0000 0.0000 0.5000  6 S 2.60-2.70
Zn: 0.4764 0.5236 0.2500  4 S 2.32-2.35
Zn: 0.5236 0.4764 0.7500  4 S 2.32-2.35
S: 0.0805 0.9195 0.2500  2 Zn 2.35
S: 0.3729 0.6271 0.0595  1 Zn 2.32
S: 0.3729 0.6271 0.4405  1 Zn 2.32
S: 0.6271 0.3729 0.5595  1 Zn 2.32
S: 0.6271 0.3729 0.9405  1 Zn 2.32
S: 0.9195 0.0805 0.7500  2 Zn 2.35

Results
- Electronic total energy: -45.9 eV/cell

(5)
The following is a GGA-PBE calculation of a geometry-optimized Sr2ZnS structure, from the Open Quantum Materials Database.

Lattice parameters (Å, degrees): 4.4318 4.4341 12.5029 90.00 90.00 90.00
Closest atoms and distances in Å follow each position.
Positions (direct):
Sr: 0.0000 0.0023 0.0000  2 S 3.12-3.13, 4 Zn 3.13-3.14
Sr: 0.0000 0.9977 0.5000  2 S 3.12-3.13, 4 Zn 3.13-3.14
Sr: 0.5000 0.4975 0.7499  2 Zn 3.12-3.13, 4 S 3.13
Sr: 0.5000 0.5025 0.2499  2 Zn 3.12-3.13, 4 S 3.13
Zn: 0.5000 0.4975 0.5001  6 Sr 3.12-3.14
Zn: 0.5000 0.5025 0.0001  6 Sr 3.12-3.14
S: 0.0000 0.0024 0.2497  6 Sr 3.12-3.13
S: 0.0000 0.9976 0.7497  6 Sr 3.12-3.13

Results
- Offset from the most stable computed form: 177 meV per atom

(6)
The following is a GGA-PBE calculation of a geometry-optimized Sr2ZnS structure, from the Open Quantum Materials Database.

Lattice parameters (Å, degrees): 4.2512 4.2512 13.3119 90.00 90.00 90.00
Closest atoms and distances in Å follow each position.
Positions (direct):
Sr: 0.2500 0.2500 0.1126  5 S 3.00-3.01
Sr: 0.2500 0.2500 0.6618  1 S 3.00, 5 Zn 3.11-3.23
Sr: 0.7500 0.7500 0.3382  1 S 3.00, 5 Zn 3.11-3.23
Sr: 0.7500 0.7500 0.8874  5 S 3.00-3.01
Zn: 0.2500 0.2500 0.4279  5 Sr 3.11-3.23
Zn: 0.7500 0.7500 0.5721  5 Sr 3.11-3.23
S: 0.2500 0.2500 0.8873  6 Sr 3.00-3.01
S: 0.7500 0.7500 0.1127  6 Sr 3.00-3.01

Results
- Offset from the most stable computed form: 0 meV per atom

(7)
The following is a GGA-PBE calculation of a geometry-optimized Sr2ZnS3 structure, from the Open Quantum Materials Database.

Lattice parameters (Å, degrees): 8.4891 4.0815 16.4558 90.00 90.00 90.00
Closest atoms and distances in Å follow each position.
Positions (direct):
Sr: 0.0801 0.2500 0.2149  7 S 3.02-3.14
Sr: 0.2406 0.2500 0.9577  7 S 2.94-3.25
Sr: 0.2594 0.7500 0.4577  7 S 2.94-3.25
Sr: 0.4199 0.7500 0.7149  7 S 3.02-3.14
Sr: 0.5801 0.2500 0.2851  7 S 3.02-3.14
Sr: 0.7406 0.2500 0.5423  7 S 2.94-3.25
Sr: 0.7594 0.7500 0.0423  7 S 2.94-3.25
Sr: 0.9199 0.7500 0.7851  7 S 3.02-3.14
Zn: 0.1263 0.2500 0.6332  4 S 2.34-2.41
Zn: 0.3737 0.7500 0.1332  4 S 2.34-2.41
Zn: 0.6263 0.2500 0.8668  4 S 2.34-2.41
Zn: 0.8737 0.7500 0.3668  4 S 2.34-2.41
S: 0.0095 0.2500 0.4014  2 Zn 2.41
S: 0.1251 0.7500 0.0718  1 Zn 2.34
S: 0.1816 0.2500 0.7739  1 Zn 2.36
S: 0.3184 0.7500 0.2739  1 Zn 2.36
S: 0.3749 0.2500 0.5718  1 Zn 2.34
S: 0.4905 0.7500 0.9014  2 Zn 2.41
S: 0.5095 0.2500 0.0986  2 Zn 2.41
S: 0.6251 0.7500 0.4282  1 Zn 2.34
S: 0.6816 0.2500 0.7261  1 Zn 2.36
S: 0.8184 0.7500 0.2261  1 Zn 2.36
S: 0.8749 0.2500 0.9282  1 Zn 2.34
S: 0.9905 0.7500 0.5986  2 Zn 2.41

Results
- Electronic total energy: -108.0 eV/cell

(8)
The following is a GGA-PBE calculation of a geometry-optimized Sr4Zn3S structure, from the Open Quantum Materials Database.

Lattice parameters (Å, degrees): 4.5038 4.5013 12.8188 90.00 90.07 90.00
Closest atoms and distances in Å follow each position.
Positions (direct):
Sr: 0.0000 0.0000 0.0000  1 S 3.00, 4 Zn 3.20
Sr: 0.0035 0.0000 0.4690  1 S 3.01, 4 Zn 3.20
Sr: 0.5005 0.5000 0.2344  4 S 3.18, 2 Zn 3.30-3.31
Sr: 0.5046 0.5000 0.7344  6 Zn 3.10-3.18
Zn: 0.0043 0.0000 0.7345  6 Sr 3.18-3.40
Zn: 0.4996 0.5000 0.9767  6 Sr 3.11-3.30
Zn: 0.5036 0.5000 0.4924  6 Sr 3.10-3.31
S: 0.0005 0.0000 0.2344  6 Sr 3.00-3.18

Results
- Electronic total energy: -18.5 eV/cell

(9)
The following is a GGA-PBE calculation of a geometry-optimized Sr2ZnS structure, from the Open Quantum Materials Database.

Lattice parameters (Å, degrees): 4.3212 4.3201 12.5675 90.00 90.29 90.00
Closest atoms and distances in Å follow each position.
Positions (direct):
Sr: 0.2466 0.2500 0.1510  1 S 2.97, 5 Zn 3.12-3.13
Sr: 0.2512 0.2500 0.6237  5 S 2.97-3.06
Sr: 0.7488 0.7500 0.3763  5 S 2.97-3.06
Sr: 0.7534 0.7500 0.8490  1 S 2.97, 5 Zn 3.12-3.13
Zn: 0.2545 0.2500 0.9031  5 Sr 3.12-3.13
Zn: 0.7455 0.7500 0.0969  5 Sr 3.12-3.13
S: 0.2487 0.2500 0.3877  6 Sr 2.97-3.06
S: 0.7513 0.7500 0.6123  6 Sr 2.97-3.06

Results
- Offset from the most stable computed form: 25 meV per atom

(10)
The following is a GGA-PBE calculation of a geometry-optimized TaS2 structure, from the Open Quantum Materials Database.

Lattice parameters (Å, degrees): 3.3347 3.3347 23.7242 90.00 90.00 119.98
Closest atoms and distances in Å follow each position.
Positions (direct):
Ta: 0.0821 0.9179 0.7500  6 S 2.48
Ta: 0.9179 0.0821 0.2500  6 S 2.48
S: 0.2513 0.7487 0.1842  3 Ta 2.48
S: 0.2513 0.7487 0.3158  3 Ta 2.48
S: 0.7487 0.2513 0.6842  3 Ta 2.48
S: 0.7487 0.2513 0.8158  3 Ta 2.48

Results
- Electronic total energy: -46.5 eV/cell

(11)
The following is a GGA-PBE calculation of a geometry-optimized TaS2 structure, from the Open Quantum Materials Database.

Lattice parameters (Å, degrees): 7.0289 7.0289 5.7774 90.01 90.01 27.44
Closest atoms and distances in Å follow each position.
Positions (direct):
Ta: 0.0000 0.0000 0.0000  6 S 2.48-2.49
Ta: 0.5016 0.5016 0.5020  6 S 2.47-2.48
S: 0.1155 0.1155 0.3327  3 Ta 2.48-2.49
S: 0.3857 0.3857 0.8331  3 Ta 2.48
S: 0.6152 0.6152 0.8357  3 Ta 2.47-2.48
S: 0.8868 0.8868 0.3351  3 Ta 2.48

Results
- Electronic total energy: -46.5 eV/cell